Entry 1:
# La2TeRu

La2TeRu after structural relaxation (GGA-PBEsol, the Alexandria database).

Calculated values
* offset from the most stable computed form: 0 meV per atom
* space-group type: Cmmm (65)
* ΔE_f (raw): -687 meV/atom
* volume: 25.73 Å³/atom

a = 3.647 Å, b = 3.647 Å, c = 7.817 Å
α = 90.00°, β = 90.00°, γ = 98.05°
Fractional coordinates of all 4 atoms:
Te 0.500 0.500 0.000
La 0.000 0.000 0.719
La 0.000 0.000 0.281
Ru 0.500 0.500 0.500

---

Entry 2:
# KRuAu2

KRuAu2 after structural relaxation (GGA-PBEsol, the Alexandria database).

Calculated values
* offset from the most stable computed form: 77 meV per atom
* space-group type: Pm (6)
* volume: 20.48 Å³/atom
* formation energy: 0.45 eV/atom

a = 2.686 Å, b = 4.729 Å, c = 6.448 Å
α = 90.00°, β = 90.19°, γ = 90.00°
Fractional coordinates of all 4 atoms:
Au 0.874 0.000 0.928
Au 0.876 0.500 0.226
Ru 0.373 0.500 0.868
K 0.378 0.000 0.479

---

Entry 3:
# KTlP2

KTlP2 after structural relaxation (GGA-PBEsol, the Alexandria database).

Calculated values
* offset from the most stable computed form: 467 meV per atom
* space-group type: Fm-3m (225)
* volume: 22.28 Å³/atom
* formation energy: 0.50 eV/atom

a = 5.014 Å, b = 5.014 Å, c = 5.014 Å
α = 60.00°, β = 60.00°, γ = 60.00°
Fractional coordinates of all 4 atoms:
K 0.000 0.000 0.000
P 0.750 0.750 0.750
P 0.250 0.250 0.250
Tl 0.500 0.500 0.500

---

Entry 4:
# La3CrBi

La3CrBi after structural relaxation (GGA-PBEsol, the Alexandria database).

Calculated values
* space-group type: Pm-3m (221)
* volume: 44.01 Å³/atom
* formation energy: 0.72 eV/atom

a = 6.037 Å, b = 6.037 Å, c = 6.037 Å
α = 90.00°, β = 90.00°, γ = 90.00°
Fractional coordinates of all 5 atoms:
La 0.000 0.500 0.000
La 0.500 0.000 0.000
La 0.000 0.000 0.500
Cr 0.500 0.500 0.500
Bi 0.000 0.000 0.000

---

Entry 5:
# TaNi2Ru

TaNi2Ru after structural relaxation (GGA-PBEsol, the Alexandria database).

Calculated values
* offset from the most stable computed form: 298 meV per atom
* space-group type: Fm-3m (225)
* volume: 12.87 Å³/atom
* formation energy: -0.03 eV/atom

a = 4.176 Å, b = 4.176 Å, c = 4.176 Å
α = 60.00°, β = 60.00°, γ = 60.00°
Fractional coordinates of all 4 atoms:
Ta 0.500 0.500 0.500
Ni 0.250 0.250 0.250
Ni 0.750 0.750 0.750
Ru 0.000 0.000 0.000

---

Entry 6:
# MnCd2Tc

MnCd2Tc after structural relaxation (GGA-PBEsol, the Alexandria database).

Calculated values
* offset from the most stable computed form: 208 meV per atom
* space-group type: P4/mmm (123)
* volume: 16.28 Å³/atom
* formation energy: 0.49 eV/atom

a = 2.767 Å, b = 2.767 Å, c = 8.506 Å
α = 90.00°, β = 90.00°, γ = 90.00°
Fractional coordinates of all 4 atoms:
Mn 0.500 0.500 0.000
Tc 0.500 0.500 0.500
Cd 0.000 0.000 0.245
Cd 0.000 0.000 0.755

---

Entry 7:
# ReAs2Cl

ReAs2Cl after structural relaxation (GGA-PBEsol, the Alexandria database).

Calculated values
* offset from the most stable computed form: 202 meV per atom
* space-group type: R3m (160)
* ΔE_f (raw): 269 meV/atom
* volume: 17.77 Å³/atom

a = 3.069 Å, b = 3.069 Å, c = 8.891 Å
α = 80.06°, β = 80.06°, γ = 60.00°
Fractional coordinates of all 4 atoms:
Re 0.255 0.255 0.234
As 0.739 0.739 0.782
As 0.988 0.988 0.036
Cl 0.518 0.518 0.447

---

Entry 8:
# BaAlGaO4

BaAlGaO4 after structural relaxation (GGA-PBEsol, the Alexandria database).

Calculated values
* space-group type: C2 (5)
* ΔE_f (raw): -2628 meV/atom
* volume: 15.29 Å³/atom

a = 5.257 Å, b = 5.282 Å, c = 8.893 Å
α = 91.51°, β = 90.00°, γ = 119.84°
Fractional coordinates of all 14 atoms:
Ga 0.686 0.332 0.554
Ga 0.353 0.668 0.446
Al 0.631 0.334 0.945
Al 0.296 0.666 0.055
O 0.703 0.000 0.500
O 0.429 0.363 0.429
O 0.066 0.637 0.571
O 0.334 0.000 0.000
O 0.612 0.638 0.019
O 0.234 0.668 0.250
O 0.974 0.362 0.981
O 0.566 0.332 0.750
Ba 0.994 0.018 0.240
Ba 0.976 0.982 0.760

---

Q: Which value of volume does entry 7 give?
A: 17.77 Å³/atom

---

Q: What is the volume in the eighth record?
A: 15.29 Å³/atom

---

Please write out number 5 again, unchanged.
# TaNi2Ru

TaNi2Ru after structural relaxation (GGA-PBEsol, the Alexandria database).

Calculated values
* offset from the most stable computed form: 298 meV per atom
* space-group type: Fm-3m (225)
* volume: 12.87 Å³/atom
* formation energy: -0.03 eV/atom

a = 4.176 Å, b = 4.176 Å, c = 4.176 Å
α = 60.00°, β = 60.00°, γ = 60.00°
Fractional coordinates of all 4 atoms:
Ta 0.500 0.500 0.500
Ni 0.250 0.250 0.250
Ni 0.750 0.750 0.750
Ru 0.000 0.000 0.000

---

Q: Among the records above, which one has the highest volume?
A: La3CrBi